Below is crystalline Zr2PPb at its relaxed geometry, with properties calculated at the PBE-GGA level.

Geometry as POSCAR:
```
Zr2PPb
1.0
1.823 1.052 7.644
-1.823 1.052 7.644
0.000 -2.105 7.644
Zr P Pb
2 1 1
Cartesian
0.000 0.000 0.000
0.000 0.000 4.709
0.000 0.000 13.818
0.000 0.000 17.668
```

Summary:
E_form, kJ per mole of atoms: -80.4